No. 1
First-principles (PBE-GGA) data for an optimized crystal structure of SbPAu3, as listed in Alexandria.

Unit cell a=5.245 b=5.245 c=5.245 alpha=90.00 beta=90.00 gamma=90.00
Element x y z (fractional)
Sb (0.000, 0.000, 0.000)
P (0.500, 0.500, 0.500)
Au (0.000, 0.000, 0.500)
Au (0.000, 0.500, 0.000)
Au (0.500, 0.000, 0.000)

Results
The space-group type is Pm-3m (221). The calculation puts the size of the total moment at 2.94 μB/f.u. The value obtained for the energy is -2.937 eV per atom. Its uncorrected formation energy is 0.935 eV per atom. For the density of states at the Fermi level, the calculation gives 0.20 states/eV per atom.

No. 2
First-principles (PBE-GGA) data for an optimized crystal structure of SbP2Au, as listed in Alexandria.

Unit cell a=4.725 b=3.824 c=4.735 alpha=90.00 beta=105.66 gamma=90.00
Element x y z (fractional)
Sb (0.000, 0.000, 0.000)
P (0.210, 0.500, 0.672)
P (0.790, 0.500, 0.328)
Au (0.500, 0.000, 0.500)

Results
The space-group type is P2/m (10). The calculation puts the size of the total moment at 0.00 μB/f.u. The value obtained for the energy is -4.481 eV per atom. Its uncorrected formation energy is 0.074 eV per atom. For the density of states at the Fermi level, the calculation gives 0.46 states/eV per atom.

No. 3
First-principles (PBE-GGA) data for an optimized crystal structure of SbP2Au, as listed in Alexandria.

Unit cell a=4.984 b=4.984 c=3.034 alpha=90.00 beta=90.00 gamma=90.00
Element x y z (fractional)
Sb (0.000, 0.000, 0.000)
P (0.000, 0.500, 0.500)
P (0.500, 0.000, 0.500)
Au (0.500, 0.500, 0.000)

Results
The space-group type is P4/mmm (123). The calculation puts the size of the total moment at 0.00 μB/f.u. The value obtained for the energy is -4.008 eV per atom. Its uncorrected formation energy is 0.547 eV per atom. For the density of states at the Fermi level, the calculation gives 0.39 states/eV per atom.

No. 4
First-principles (PBE-GGA) data for an optimized crystal structure of SbPAu2, as listed in Alexandria.

Unit cell a=3.988 b=3.988 c=5.030 alpha=90.00 beta=90.00 gamma=90.00
Element x y z (fractional)
Sb (0.000, 0.000, 0.000)
P (0.500, 0.500, 0.000)
Au (0.000, 0.500, 0.500)
Au (0.500, 0.000, 0.500)

Results
The space-group type is P4/mmm (123). The calculation puts the size of the total moment at 0.00 μB/f.u. The value obtained for the energy is -3.726 eV per atom. Its uncorrected formation energy is 0.296 eV per atom. For the density of states at the Fermi level, the calculation gives 0.31 states/eV per atom.

No. 5
First-principles (PBE-GGA) data for an optimized crystal structure of SbPAu2, as listed in Alexandria.

Unit cell a=6.567 b=6.567 c=6.567 alpha=34.82 beta=34.82 gamma=34.82
Element x y z (fractional)
Sb (0.000, 0.000, 0.000)
P (0.500, 0.500, 0.500)
Au (0.237, 0.237, 0.237)
Au (0.763, 0.763, 0.763)

Results
The space-group type is R-3m (166). The calculation puts the size of the total moment at 0.00 μB/f.u. The value obtained for the energy is -3.917 eV per atom. Its uncorrected formation energy is 0.105 eV per atom. For the density of states at the Fermi level, the calculation gives 0.47 states/eV per atom.

No. 6
First-principles (PBE-GGA) data for an optimized crystal structure of SbP2Au, as listed in Alexandria.

Unit cell a=3.638 b=3.638 c=9.546 alpha=90.00 beta=90.00 gamma=129.35
Element x y z (fractional)
Sb (0.000, 0.000, 0.000)
P (0.000, 0.000, 0.494)
P (0.500, 0.500, 0.644)
Au (0.500, 0.500, 0.241)

Results
The space-group type is Cmm2 (35). The calculation puts the size of the total moment at 0.00 μB/f.u. The value obtained for the energy is -4.152 eV per atom. Its uncorrected formation energy is 0.403 eV per atom. For the density of states at the Fermi level, the calculation gives 0.40 states/eV per atom.